# 1
An optimized crystal structure of MgSI2N, computed with PBE.

a = 5.6652 Å, b = 5.6652 Å, c = 3.9196 Å
α = 90.00°, β = 90.00°, γ = 90.00°
Positions (direct):
Mg  0.0000  0.0000  0.0000
S  0.5000  0.5000  0.5000
I  0.0000  0.5000  0.0000
I  0.5000  0.0000  0.0000
N  0.0000  0.0000  0.5000

Output
DOS at the Fermi energy: 6.9 states/eV per cell
M_tot: 0.01 μB/cell
Energy relative to the elements, uncorrected: 4.56 eV per formula unit
Final energy: -12.6 eV per cell

=====

# 2
An optimized crystal structure of PrErCd2Au4, computed with PBE.

a = 8.6353 Å, b = 8.6353 Å, c = 8.6353 Å
α = 33.59°, β = 33.59°, γ = 33.59°
Positions (direct):
Pr  0.0000  0.0000  0.0000
Er  0.5000  0.5000  0.5000
Cd  0.2505  0.2505  0.2505
Cd  0.7495  0.7495  0.7495
Au  0.1301  0.1301  0.1301
Au  0.3799  0.3799  0.3799
Au  0.6201  0.6201  0.6201
Au  0.8699  0.8699  0.8699

Output
DOS at the Fermi energy: 4.2 states/eV per cell
M_tot: 0.00 μB/cell
E_form: -503 kJ/mol of formula units
Final energy: -29.5 eV per cell

=====

# 3
An optimized crystal structure of Tb2UP3Rh12, computed with PBE.

a = 6.7193 Å, b = 6.7193 Å, c = 6.7193 Å
α = 82.31°, β = 82.31°, γ = 82.31°
Positions (direct):
Tb  0.1219  0.1219  0.1219
Tb  0.8781  0.8781  0.8781
U  0.5000  0.5000  0.5000
P  0.0000  0.5000  0.5000
P  0.5000  0.0000  0.5000
P  0.5000  0.5000  0.0000
Rh  0.1363  0.1363  0.5858
Rh  0.1363  0.5858  0.1363
Rh  0.1680  0.6763  0.6763
Rh  0.3237  0.3237  0.8320
Rh  0.3237  0.8320  0.3237
Rh  0.4142  0.8637  0.8637
Rh  0.5858  0.1363  0.1363
Rh  0.6763  0.1680  0.6763
Rh  0.6763  0.6763  0.1680
Rh  0.8320  0.3237  0.3237
Rh  0.8637  0.4142  0.8637
Rh  0.8637  0.8637  0.4142

Output
DOS at the Fermi energy: 17.2 states/eV per cell
M_tot: 0.00 μB/cell
E_form: -717 kJ/mol of formula units
Final energy: -132.4 eV per cell

=====

# 4
An optimized crystal structure of Rb4Na2O, computed with PBE.

a = 11.4735 Å, b = 11.4735 Å, c = 11.4735 Å
α = 150.79°, β = 150.79°, γ = 41.78°
Positions (direct):
Rb  0.0000  0.5000  0.5000
Rb  0.1256  0.1256  0.0000
Rb  0.5000  0.0000  0.5000
Rb  0.8744  0.8744  0.0000
Na  0.3150  0.3150  0.0000
Na  0.6850  0.6850  0.0000
O  0.0000  0.0000  0.0000

Output
DOS at the Fermi energy: 1.4 states/eV per cell
M_tot: 0.00 μB/cell
Energy relative to the elements, uncorrected: -2.54 eV per formula unit
Final energy: -14.0 eV per cell

=====

# 5
An optimized crystal structure of Zr6Hg5Bi, computed with PBE.

a = 8.3948 Å, b = 8.3948 Å, c = 8.3948 Å
α = 148.86°, β = 118.76°, γ = 70.30°
Positions (direct):
Zr  0.0834  0.3325  0.7509
Zr  0.2492  0.0000  0.2492
Zr  0.4184  0.6675  0.7509
Zr  0.5816  0.3325  0.2491
Zr  0.7508  0.0000  0.7508
Zr  0.9166  0.6675  0.2491
Hg  0.0000  0.5000  0.5000
Hg  0.1636  0.1636  0.0000
Hg  0.3226  0.8226  0.5000
Hg  0.6774  0.1774  0.5000
Hg  0.8364  0.8364  0.0000
Bi  0.5000  0.5000  0.0000

Output
DOS at the Fermi energy: 10.2 states/eV per cell
M_tot: 0.00 μB/cell
E_form: -222 kJ/mol of formula units
Final energy: -59.0 eV per cell

=====

# 6
An optimized crystal structure of Li10GeP2Se12, computed with PBE.

a = 9.2725 Å, b = 9.2725 Å, c = 13.3988 Å
α = 90.00°, β = 90.00°, γ = 90.00°
Positions (direct):
Li  0.0000  0.0000  0.0000
Li  0.0000  0.0000  0.5000
Li  0.2269  0.2641  0.2456
Li  0.2269  0.7359  0.2456
Li  0.2387  0.2411  0.9796
Li  0.2387  0.7589  0.9796
Li  0.2411  0.2387  0.4796
Li  0.2411  0.7613  0.4796
Li  0.2641  0.2269  0.7456
Li  0.2641  0.7731  0.7456
Li  0.5000  0.5000  0.3963
Li  0.5000  0.5000  0.8963
Li  0.7359  0.2269  0.7456
Li  0.7359  0.7731  0.7456
Li  0.7589  0.2387  0.4796
Li  0.7589  0.7613  0.4796
Li  0.7613  0.2411  0.9796
Li  0.7613  0.7589  0.9796
Li  0.7731  0.2641  0.2456
Li  0.7731  0.7359  0.2456
Ge  0.0000  0.0000  0.2534
Ge  0.0000  0.0000  0.7534
P  0.0000  0.5000  0.4577
P  0.5000  0.0000  0.9577
P  0.5000  0.5000  0.1390
P  0.5000  0.5000  0.6390
Se  0.0000  0.2087  0.1496
Se  0.0000  0.2139  0.8562
Se  0.0000  0.3054  0.5538
Se  0.0000  0.6946  0.5538
Se  0.0000  0.7861  0.8562
Se  0.0000  0.7913  0.1496
Se  0.1992  0.5000  0.3619
Se  0.2087  0.0000  0.6496
Se  0.2139  0.0000  0.3562
Se  0.2981  0.5000  0.0466
Se  0.3033  0.5000  0.7336
Se  0.3054  0.0000  0.0538
Se  0.5000  0.1992  0.8619
Se  0.5000  0.2981  0.5466
Se  0.5000  0.3033  0.2336
Se  0.5000  0.6967  0.2336
Se  0.5000  0.7019  0.5466
Se  0.5000  0.8008  0.8619
Se  0.6946  0.0000  0.0538
Se  0.6967  0.5000  0.7336
Se  0.7019  0.5000  0.0466
Se  0.7861  0.0000  0.3562
Se  0.7913  0.0000  0.6496
Se  0.8008  0.5000  0.3619

Output
M_tot: 0.00 μB/cell
Energy relative to the elements, uncorrected: -20.36 eV per formula unit
Final energy: -193.5 eV per cell

=====

# 7
An optimized crystal structure of YTcCl, computed with PBE.

a = 4.8415 Å, b = 4.8415 Å, c = 4.8415 Å
α = 60.00°, β = 60.00°, γ = 60.00°
Positions (direct):
Y  0.0000  0.0000  0.0000
Tc  0.7500  0.7500  0.7500
Cl  0.2500  0.2500  0.2500

Output
DOS at the Fermi energy: 7.3 states/eV per cell
M_tot: 3.01 μB/cell
Energy relative to the elements, uncorrected: 2.07 eV per formula unit
Final energy: -16.6 eV per cell

=====

# 8
An optimized crystal structure of Ba2Sn2Hg5, computed with PBE.

a = 4.9789 Å, b = 4.9789 Å, c = 11.5972 Å
α = 90.00°, β = 90.00°, γ = 90.00°
Positions (direct):
Ba  0.0000  0.0000  0.0000
Ba  0.0000  0.0000  0.5000
Sn  0.5000  0.5000  0.1226
Sn  0.5000  0.5000  0.8774
Hg  0.0000  0.5000  0.2817
Hg  0.0000  0.5000  0.7183
Hg  0.5000  0.0000  0.2817
Hg  0.5000  0.0000  0.7183
Hg  0.5000  0.5000  0.5000

Output
DOS at the Fermi energy: 6.4 states/eV per cell
M_tot: 0.00 μB/cell
E_form: -287 kJ/mol of formula units
Final energy: -16.3 eV per cell